! CdSeS2, relaxed, DFT GGA-PBEsol; values from VASP
! - SG = I-42d
! - crystal system = tetragonal
&SYSTEM
  ibrav = 0, nat = 8, ntyp = 3
/
ATOMIC_SPECIES
Cd 112.41 Cd.upf
Se 78.96 Se.upf
S 32.06 S.upf
CELL_PARAMETERS angstrom
-2.564 2.564 7.185
2.564 -2.564 7.185
2.564 2.564 -7.185
ATOMIC_POSITIONS crystal
Cd 0.000 0.000 0.000
Cd 0.750 0.250 0.500
Se 0.250 0.750 0.500
Se 0.500 0.500 0.000
S 0.147 0.625 0.022
S 0.375 0.397 0.522
S 0.603 0.125 0.978
S 0.875 0.853 0.478

---

! Sm2CdS4, relaxed, DFT GGA-PBEsol; values from VASP
! - SG = I-42d
! - crystal system = tetragonal
&SYSTEM
  ibrav = 0, nat = 14, ntyp = 3
/
ATOMIC_SPECIES
Sm 150.36 Sm.upf
Cd 112.41 Cd.upf
S 32.06 S.upf
CELL_PARAMETERS angstrom
-4.117 4.117 4.303
4.117 -4.117 4.303
4.117 4.117 -4.303
ATOMIC_POSITIONS crystal
Sm 0.009 0.125 0.384
Sm 0.375 0.991 0.116
Sm 0.741 0.625 0.616
Sm 0.875 0.259 0.884
Cd 0.250 0.750 0.500
Cd 0.500 0.500 0.000
S 0.119 0.001 0.739
S 0.130 0.512 0.761
S 0.262 0.380 0.261
S 0.488 0.249 0.618
S 0.620 0.881 0.882
S 0.631 0.870 0.382
S 0.751 0.369 0.239
S 0.999 0.738 0.118

---

! TlCdSn2S, relaxed, DFT GGA-PBEsol; values from VASP
! - SG = P4/mmm
! - crystal system = tetragonal
&SYSTEM
  ibrav = 0, nat = 5, ntyp = 4
/
ATOMIC_SPECIES
Tl 204.38 Tl.upf
Cd 112.41 Cd.upf
Sn 118.71 Sn.upf
S 32.06 S.upf
CELL_PARAMETERS angstrom
5.222 0.000 0.000
0.000 5.222 0.000
0.000 0.000 5.675
ATOMIC_POSITIONS crystal
Tl 0.000 0.000 0.000
Cd 0.500 0.500 0.000
Sn 0.000 0.500 0.500
Sn 0.500 0.000 0.500
S 0.000 0.000 0.500

---

! TaCdS3, relaxed, DFT GGA-PBEsol; values from VASP
! - SG = Pm-3m
! - crystal system = cubic
&SYSTEM
  ibrav = 0, nat = 5, ntyp = 3
/
ATOMIC_SPECIES
Ta 180.95 Ta.upf
Cd 112.41 Cd.upf
S 32.06 S.upf
CELL_PARAMETERS angstrom
4.749 0.000 0.000
0.000 4.749 0.000
0.000 0.000 4.749
ATOMIC_POSITIONS crystal
Ta 0.000 0.000 0.000
Cd 0.500 0.500 0.500
S 0.000 0.500 0.500
S 0.500 0.000 0.500
S 0.500 0.500 0.000

---

! TaCd2TeS, relaxed, DFT GGA-PBEsol; values from VASP
! - SG = P4/mmm
! - crystal system = tetragonal
&SYSTEM
  ibrav = 0, nat = 5, ntyp = 4
/
ATOMIC_SPECIES
Ta 180.95 Ta.upf
Cd 112.41 Cd.upf
Te 127.60 Te.upf
S 32.06 S.upf
CELL_PARAMETERS angstrom
4.848 0.000 0.000
0.000 4.848 0.000
0.000 0.000 5.284
ATOMIC_POSITIONS crystal
Ta 0.000 0.000 0.000
Cd 0.000 0.500 0.500
Cd 0.500 0.000 0.500
Te 0.500 0.500 0.000
S 0.500 0.500 0.500

---

! Cd5Te4S, relaxed, DFT GGA-PBEsol; values from VASP
! - SG = R3m
! - crystal system = trigonal
&SYSTEM
  ibrav = 0, nat = 10, ntyp = 3
/
ATOMIC_SPECIES
Cd 112.41 Cd.upf
Te 127.60 Te.upf
S 32.06 S.upf
CELL_PARAMETERS angstrom
2.246 1.297 18.365
-2.246 1.297 18.365
0.000 -2.593 18.365
ATOMIC_POSITIONS crystal
Cd 0.000 0.000 0.000
Cd 0.195 0.195 0.195
Cd 0.390 0.390 0.390
Cd 0.597 0.597 0.597
Cd 0.792 0.792 0.792
Te 0.144 0.144 0.144
Te 0.547 0.547 0.547
Te 0.742 0.742 0.742
Te 0.949 0.949 0.949
S 0.344 0.344 0.344

---

! Cd2TeS, relaxed, DFT GGA-PBEsol; values from VASP
! - ΔE to the lowest computed polymorph (meV per atom) = 31
! - SG = P3m1
! - crystal system = trigonal
&SYSTEM
  ibrav = 0, nat = 4, ntyp = 3
/
ATOMIC_SPECIES
Cd 112.41 Cd.upf
Te 127.60 Te.upf
S 32.06 S.upf
CELL_PARAMETERS angstrom
4.345 0.000 0.000
-2.173 3.763 0.000
0.000 0.000 7.140
ATOMIC_POSITIONS crystal
Cd 0.000 0.000 0.000
Cd 0.333 0.667 0.552
Te 0.000 0.000 0.394
S 0.333 0.667 0.905

---

! Cd2TeS, relaxed, DFT GGA-PBEsol; values from VASP
! - ΔE to the lowest computed polymorph (meV per atom) = 0
! - SG = I-42d
! - crystal system = tetragonal
&SYSTEM
  ibrav = 0, nat = 8, ntyp = 3
/
ATOMIC_SPECIES
Cd 112.41 Cd.upf
Te 127.60 Te.upf
S 32.06 S.upf
CELL_PARAMETERS angstrom
-3.080 3.080 6.122
3.080 -3.080 6.122
3.080 3.080 -6.122
ATOMIC_POSITIONS crystal
Cd 0.089 0.625 0.964
Cd 0.375 0.339 0.464
Cd 0.661 0.125 0.036
Cd 0.875 0.911 0.536
Te 0.250 0.750 0.500
Te 0.500 0.500 0.000
S 0.000 0.000 0.000
S 0.750 0.250 0.500

---

! Cd5TeS4, relaxed, DFT GGA-PBEsol; values from VASP
! - SG = I-4m2
! - crystal system = tetragonal
&SYSTEM
  ibrav = 0, nat = 10, ntyp = 3
/
ATOMIC_SPECIES
Cd 112.41 Cd.upf
Te 127.60 Te.upf
S 32.06 S.upf
CELL_PARAMETERS angstrom
-2.113 2.113 14.791
2.113 -2.113 14.791
2.113 2.113 -14.791
ATOMIC_POSITIONS crystal
Cd 0.000 0.000 0.000
Cd 0.190 0.190 0.000
Cd 0.405 0.405 0.000
Cd 0.595 0.595 0.000
Cd 0.810 0.810 0.000
Te 0.250 0.750 0.500
S 0.047 0.547 0.500
S 0.453 0.953 0.500
S 0.642 0.142 0.500
S 0.858 0.358 0.500

---

! TiTlCd2S, relaxed, DFT GGA-PBEsol; values from VASP
! - SG = P4/mmm
! - crystal system = tetragonal
&SYSTEM
  ibrav = 0, nat = 5, ntyp = 4
/
ATOMIC_SPECIES
Ti 47.87 Ti.upf
Tl 204.38 Tl.upf
Cd 112.41 Cd.upf
S 32.06 S.upf
CELL_PARAMETERS angstrom
5.401 0.000 0.000
0.000 5.401 0.000
0.000 0.000 4.512
ATOMIC_POSITIONS crystal
Ti 0.000 0.000 0.000
Tl 0.500 0.500 0.500
Cd 0.000 0.500 0.000
Cd 0.500 0.000 0.000
S 0.000 0.000 0.500

---

! TlCdS3, relaxed, DFT GGA-PBEsol; values from VASP
! - SG = Pm-3m
! - crystal system = cubic
&SYSTEM
  ibrav = 0, nat = 5, ntyp = 3
/
ATOMIC_SPECIES
Tl 204.38 Tl.upf
Cd 112.41 Cd.upf
S 32.06 S.upf
CELL_PARAMETERS angstrom
4.981 0.000 0.000
0.000 4.981 0.000
0.000 0.000 4.981
ATOMIC_POSITIONS crystal
Tl 0.000 0.000 0.000
Cd 0.500 0.500 0.500
S 0.000 0.500 0.500
S 0.500 0.000 0.500
S 0.500 0.500 0.000

---

! CdW3S, relaxed, DFT GGA-PBEsol; values from VASP
! - SG = Pm-3m
! - crystal system = cubic
&SYSTEM
  ibrav = 0, nat = 5, ntyp = 3
/
ATOMIC_SPECIES
Cd 112.41 Cd.upf
W 183.84 W.upf
S 32.06 S.upf
CELL_PARAMETERS angstrom
4.814 0.000 0.000
0.000 4.814 0.000
0.000 0.000 4.814
ATOMIC_POSITIONS crystal
Cd 0.000 0.000 0.000
W 0.000 0.000 0.500
W 0.000 0.500 0.000
W 0.500 0.000 0.000
S 0.500 0.500 0.500

---

Values for electronic total energy, eV/atom, ordered as above
-3.386; -5.751; -3.044; -4.286; -3.480; -2.848; -3.026; -3.057; -3.253; -3.480; -3.029; -5.966
Values for ΔE_f (raw), eV/atom, ordered as above
0.068; -1.619; 0.302; 1.094; 1.091; -0.400; -0.450; -0.481; -0.549; 0.066; 0.367; 3.434